Record 1
CaB3H12 | PBE | relaxed

Unit cell a=8.3454 b=8.3454 c=16.8369 alpha=90.00 beta=90.00 gamma=120.00
Space group R3c (No. 161, hexagonal axes)
Asymmetric unit:
Ca 0.0000 0.0000 0.0000 x6
B 0.0005 0.4720 0.2508 x18
H 0.0073 0.2813 0.5355 x18
H 0.0475 0.2045 0.1071 x18
H 0.0599 0.3817 0.6341 x18
H 0.1797 0.4621 0.0593 x18

Properties
The raw total energy comes out at -383.75 eV per cell. The calculation puts the total magnetization at 0.00 μB/atom.

Record 2
CaB2H2 | PBE | relaxed

Unit cell a=13.4345 b=5.2073 c=3.1408 alpha=90.00 beta=90.00 gamma=90.00
Space group Pnma (No. 62)
Asymmetric unit:
Ca 0.1026 0.2500 0.0040 x4
B 0.1929 0.7500 0.2712 x4
B 0.1930 0.7500 0.7600 x4
H 0.0000 0.0000 0.5000 x4
H 0.1108 0.7500 0.5165 x4

Properties
The calculation puts the total magnetization at 0.00 μB/atom. The excess energy over the best structure of this formula in the dataset comes out at 0.3956 eV per atom.

Record 3
Ca3BH | PBE | relaxed

Unit cell a=4.6435 b=4.6435 c=4.6435 alpha=90.00 beta=90.00 gamma=90.00
Space group Pm-3m (No. 221)
Asymmetric unit:
Ca 0.0000 0.0000 0.5000 x3
B 0.5000 0.5000 0.5000 x1
H 0.0000 0.0000 0.0000 x1

Properties
The calculation puts the total magnetization at 0.00 μB/atom. The excess energy over the best structure of this formula in the dataset comes out at 0.0000 eV per atom.

Record 4
CaB4H12 | PBE | relaxed

Unit cell a=6.0212 b=6.0212 c=6.0212 alpha=90.00 beta=90.00 gamma=90.00
Space group Im-3m (No. 229)
Asymmetric unit:
Ca 0.0000 0.0000 0.0000 x2
B 0.2500 0.2500 0.2500 x8
H 0.0000 0.2568 0.2568 x24

Properties
The raw total energy comes out at -127.15 eV per cell. The calculation puts the total magnetization at 0.00 μB/atom.

Record 5
CaB2H3 | PBE | relaxed

Unit cell a=16.6389 b=3.4284 c=3.5371 alpha=90.00 beta=90.00 gamma=90.00
Space group Pnma (No. 62)
Asymmetric unit:
Ca 0.1143 0.2500 0.0005 x4
B 0.0222 0.7500 0.4486 x4
B 0.2504 0.2500 0.5222 x4
H 0.0295 0.7500 0.1022 x4
H 0.0948 0.7500 0.5434 x4
H 0.1775 0.7500 0.0542 x4

Properties
The calculation puts the total magnetization at 0.00 μB/atom. The excess energy over the best structure of this formula in the dataset comes out at 0.1644 eV per atom.

Record 6
CaBH2 | PBE | relaxed

Unit cell a=3.9279 b=3.9279 c=9.9017 alpha=90.00 beta=90.00 gamma=90.00
Space group I4_1/amd (No. 141, origin choice 2)
Asymmetric unit:
Ca 0.0000 0.2500 0.3750 x4
B 0.0000 0.2500 0.8750 x4
H 0.0000 0.0000 0.0000 x8

Properties
The calculation puts the total magnetization at 0.00 μB/atom. The excess energy over the best structure of this formula in the dataset comes out at 0.0000 eV per atom.

Record 7
CaB3H | PBE | relaxed

Unit cell a=3.6548 b=3.6548 c=3.6548 alpha=90.00 beta=90.00 gamma=90.00
Space group Pm-3m (No. 221)
Asymmetric unit:
Ca 0.0000 0.0000 0.0000 x1
B 0.0000 0.5000 0.5000 x3
H 0.5000 0.5000 0.5000 x1

Properties
The raw total energy comes out at -18.05 eV per cell. The calculation puts the total magnetization at 0.00 μB/atom.

Record 8
Ca2BH | PBE | relaxed

Unit cell a=6.4251 b=6.4251 c=7.6139 alpha=90.00 beta=90.00 gamma=90.00
Space group I-42d (No. 122)
Asymmetric unit:
Ca 0.2161 0.2500 0.1250 x8
B 0.0000 0.0000 0.5000 x4
H 0.0000 0.0000 0.0000 x4

Properties
The calculation puts the total magnetization at 0.00 μB/atom. The excess energy over the best structure of this formula in the dataset comes out at 0.0000 eV per atom.